No. 1
# Ta4ZnSbC2, relaxed, DFT PBE
# total energy = -73.69 eV/cell
data_Ta4ZnSbC2
_cell_length_a 3.2372
_cell_length_b 3.2372
_cell_length_c 13.3905
_cell_angle_alpha 90.00
_cell_angle_beta 90.00
_cell_angle_gamma 120.00
_space_group_name_H-M_alt 'P -6 m 2'
_space_group_IT_number 187
_space_group_name_Hall 'P -6 2'
loop_
_atom_site_label
_atom_site_type_symbol
_atom_site_fract_x
_atom_site_fract_y
_atom_site_fract_z
Ta1 Ta 0.0000 0.0000 0.1618
Ta2 Ta 0.6667 0.3333 0.3358
Zn1 Zn 0.6667 0.3333 0.0000
Sb1 Sb 0.0000 0.0000 0.5000
C1 C 0.3333 0.6667 0.2473

=====

No. 2
# Zr4Ta2Sb3C3, relaxed, DFT PBE
# total energy = -422.51 eV/cell
data_Zr4Ta2Sb3C3
_cell_length_a 10.321
_cell_length_b 5.953
_cell_length_c 13.982
_cell_angle_alpha 90.00
_cell_angle_beta 104.23
_cell_angle_gamma 90.00
_space_group_name_H-M_alt 'C 1 2/c 1'
_space_group_IT_number 15
loop_
_space_group_symop_operation_xyz
'x,y,z'
'-x,-y,-z'
'-x,y,-z+1/2'
'x,-y,z+1/2'
'x+1/2,y+1/2,z'
'-x+1/2,-y+1/2,-z'
'-x+1/2,y+1/2,-z+1/2'
'x+1/2,-y+1/2,z+1/2'
loop_
_atom_site_label
_atom_site_type_symbol
_atom_site_fract_x
_atom_site_fract_y
_atom_site_fract_z
Zr1 Zr 0.114 0.078 0.091
Zr2 Zr 0.217 0.086 0.410
Ta1 Ta 0.060 0.413 0.921
Sb1 Sb 0.000 0.099 0.750
Sb2 Sb 0.159 0.425 0.249
C1 C 0.080 0.260 0.500
C2 C 0.250 0.250 0.000

=====

No. 3
# Zr4SbTeC2, relaxed, DFT PBE
# total energy = -66.60 eV/cell
data_Zr4SbTeC2
_cell_length_a 3.5067
_cell_length_b 3.5067
_cell_length_c 13.7067
_cell_angle_alpha 90.00
_cell_angle_beta 90.00
_cell_angle_gamma 120.00
_space_group_name_H-M_alt 'P -6 m 2'
_space_group_IT_number 187
_space_group_name_Hall 'P -6 2'
loop_
_atom_site_label
_atom_site_type_symbol
_atom_site_fract_x
_atom_site_fract_y
_atom_site_fract_z
Zr1 Zr 0.0000 0.0000 0.1586
Zr2 Zr 0.3333 0.6667 0.3349
Sb1 Sb 0.0000 0.0000 0.5000
Te1 Te 0.3333 0.6667 0.0000
C1 C 0.6667 0.3333 0.2472

=====

No. 4
# TlSbW4C2, relaxed, DFT PBE
# total energy = -73.60 eV/cell
data_TlSbW4C2
_cell_length_a 3.2096
_cell_length_b 3.2096
_cell_length_c 13.6361
_cell_angle_alpha 90.00
_cell_angle_beta 90.00
_cell_angle_gamma 120.00
_space_group_name_H-M_alt 'P -6 m 2'
_space_group_IT_number 187
_space_group_name_Hall 'P -6 2'
loop_
_atom_site_label
_atom_site_type_symbol
_atom_site_fract_x
_atom_site_fract_y
_atom_site_fract_z
Tl1 Tl 0.0000 0.0000 0.0000
Sb1 Sb 0.3333 0.6667 0.5000
W1 W 0.0000 0.0000 0.3353
W2 W 0.3333 0.6667 0.1756
C1 C 0.6667 0.3333 0.2550

=====

No. 5
# Tm4ZrSbC2, relaxed, DFT PBE
# total energy = -52.04 eV/cell
data_Tm4ZrSbC2
_cell_length_a 3.5071
_cell_length_b 3.5071
_cell_length_c 16.1324
_cell_angle_alpha 90.00
_cell_angle_beta 90.00
_cell_angle_gamma 120.00
_space_group_name_H-M_alt 'P -6 m 2'
_space_group_IT_number 187
_space_group_name_Hall 'P -6 2'
loop_
_atom_site_label
_atom_site_type_symbol
_atom_site_fract_x
_atom_site_fract_y
_atom_site_fract_z
Tm1 Tm 0.0000 0.0000 0.1568
Tm2 Tm 0.6667 0.3333 0.3218
Zr1 Zr 0.0000 0.0000 0.5000
Sb1 Sb 0.6667 0.3333 0.0000
C1 C 0.3333 0.6667 0.2356

=====

No. 6
# TmZrSbC, relaxed, DFT PBE
# energy relative to the lowest polymorph listed for this composition = 0.9 kJ per mole of atoms
# total energy = -58.49 eV/cell
data_TmZrSbC
_cell_length_a 3.5170
_cell_length_b 3.5170
_cell_length_c 14.5621
_cell_angle_alpha 90.00
_cell_angle_beta 90.00
_cell_angle_gamma 120.00
_space_group_name_H-M_alt 'P -3 m 1'
_space_group_IT_number 164
_space_group_name_Hall '-P 3 2"'
loop_
_atom_site_label
_atom_site_type_symbol
_atom_site_fract_x
_atom_site_fract_y
_atom_site_fract_z
Tm1 Tm 0.3333 0.6667 0.4102
Zr1 Zr 0.3333 0.6667 0.0828
Sb1 Sb 0.3333 0.6667 0.7595
C1 C 0.0000 0.0000 0.0000
C2 C 0.0000 0.0000 0.5000

=====

No. 7
# TmZr3Sb2C2, relaxed, DFT PBE
# total energy = -62.84 eV/cell
data_TmZr3Sb2C2
_cell_length_a 3.4702
_cell_length_b 3.4702
_cell_length_c 14.3650
_cell_angle_alpha 90.00
_cell_angle_beta 90.00
_cell_angle_gamma 120.00
_space_group_name_H-M_alt 'P 3 m 1'
_space_group_IT_number 156
loop_
_space_group_symop_operation_xyz
'x,y,z'
'-y,x-y,z'
'-x+y,-x,z'
'-y,-x,z'
'-x+y,y,z'
'x,x-y,z'
loop_
_atom_site_label
_atom_site_type_symbol
_atom_site_fract_x
_atom_site_fract_y
_atom_site_fract_z
Tm1 Tm 0.0000 0.0000 0.0000
Zr1 Zr 0.0000 0.0000 0.3324
Zr2 Zr 0.6667 0.3333 0.5022
Zr3 Zr 0.6667 0.3333 0.8214
Sb1 Sb 0.0000 0.0000 0.6619
Sb2 Sb 0.6667 0.3333 0.1718
C1 C 0.3333 0.6667 0.4169
C2 C 0.3333 0.6667 0.9053

=====

No. 8
# Tm3ZrSb2C2, relaxed, DFT PBE
# total energy = -54.28 eV/cell
data_Tm3ZrSb2C2
_cell_length_a 3.5542
_cell_length_b 3.5542
_cell_length_c 14.7458
_cell_angle_alpha 90.00
_cell_angle_beta 90.00
_cell_angle_gamma 120.00
_space_group_name_H-M_alt 'P 3 m 1'
_space_group_IT_number 156
loop_
_space_group_symop_operation_xyz
'x,y,z'
'-y,x-y,z'
'-x+y,-x,z'
'-y,-x,z'
'-x+y,y,z'
'x,x-y,z'
loop_
_atom_site_label
_atom_site_type_symbol
_atom_site_fract_x
_atom_site_fract_y
_atom_site_fract_z
Tm1 Tm 0.0000 0.0000 0.0000
Tm2 Tm 0.0000 0.0000 0.3306
Tm3 Tm 0.6667 0.3333 0.5069
Zr1 Zr 0.6667 0.3333 0.8282
Sb1 Sb 0.0000 0.0000 0.6749
Sb2 Sb 0.6667 0.3333 0.1640
C1 C 0.3333 0.6667 0.4192
C2 C 0.3333 0.6667 0.9078

=====

No. 9
# TmZrSbC, relaxed, DFT PBE
# energy relative to the lowest polymorph listed for this composition = 0.1 kJ per mole of atoms
# total energy = -58.56 eV/cell
data_TmZrSbC
_cell_length_a 3.4971
_cell_length_b 3.4971
_cell_length_c 14.6038
_cell_angle_alpha 90.00
_cell_angle_beta 90.00
_cell_angle_gamma 120.00
_space_group_name_H-M_alt 'P 63 m c'
_space_group_IT_number 186
_space_group_name_Hall 'P 6c -2c'
loop_
_atom_site_label
_atom_site_type_symbol
_atom_site_fract_x
_atom_site_fract_y
_atom_site_fract_z
Tm1 Tm 0.3333 0.6667 0.0000
Zr1 Zr 0.3333 0.6667 0.3257
Sb1 Sb 0.3333 0.6667 0.6684
C1 C 0.0000 0.0000 0.4070

=====

No. 10
# TmZrSbC, relaxed, DFT PBE
# energy relative to the lowest polymorph listed for this composition = 0.0 kJ per mole of atoms
# total energy = -58.56 eV/cell
data_TmZrSbC
_cell_length_a 3.4956
_cell_length_b 3.4956
_cell_length_c 14.6078
_cell_angle_alpha 90.00
_cell_angle_beta 90.00
_cell_angle_gamma 120.00
_space_group_name_H-M_alt 'P -6 m 2'
_space_group_IT_number 187
_space_group_name_Hall 'P -6 2'
loop_
_atom_site_label
_atom_site_type_symbol
_atom_site_fract_x
_atom_site_fract_y
_atom_site_fract_z
Tm1 Tm 0.0000 0.0000 0.1687
Zr1 Zr 0.6667 0.3333 0.3432
Sb1 Sb 0.0000 0.0000 0.5000
Sb2 Sb 0.6667 0.3333 0.0000
C1 C 0.3333 0.6667 0.2613

=====

No. 11
# SbW2C, relaxed, DFT PBE
# energy relative to the lowest polymorph listed for this composition = 0.0 kJ per mole of atoms
# total energy = -151.65 eV/cell
data_SbW2C
_cell_length_a 3.192
_cell_length_b 5.527
_cell_length_c 13.850
_cell_angle_alpha 90.00
_cell_angle_beta 92.82
_cell_angle_gamma 90.00
_space_group_name_H-M_alt 'C 1 2/c 1'
_space_group_IT_number 15
loop_
_space_group_symop_operation_xyz
'x,y,z'
'-x,-y,-z'
'-x,y,-z+1/2'
'x,-y,z+1/2'
'x+1/2,y+1/2,z'
'-x+1/2,-y+1/2,-z'
'-x+1/2,y+1/2,-z+1/2'
'x+1/2,-y+1/2,z+1/2'
loop_
_atom_site_label
_atom_site_type_symbol
_atom_site_fract_x
_atom_site_fract_y
_atom_site_fract_z
Sb1 Sb 0.000 0.130 0.250
W1 W 0.233 0.419 0.420
C1 C 0.250 0.250 0.000

=====

No. 12
# SbW2C, relaxed, DFT PBE
# energy relative to the lowest polymorph listed for this composition = 3.4 kJ per mole of atoms
# total energy = -75.55 eV/cell
data_SbW2C
_cell_length_a 3.2608
_cell_length_b 3.2608
_cell_length_c 13.1034
_cell_angle_alpha 90.00
_cell_angle_beta 90.00
_cell_angle_gamma 120.00
_space_group_name_H-M_alt 'P 63/m m c'
_space_group_IT_number 194
_space_group_name_Hall '-P 6c 2c'
loop_
_atom_site_label
_atom_site_type_symbol
_atom_site_fract_x
_atom_site_fract_y
_atom_site_fract_z
Sb1 Sb 0.3333 0.6667 0.2500
W1 W 0.3333 0.6667 0.5815
C1 C 0.0000 0.0000 0.0000